Entry 1:
A relaxed Te3Cl5 crystal. Source: Alexandria, functional PBE.

```
16
Lattice="-4.088 -6.515 3.057 1.392 0.565 -8.139 6.085 -3.443 0.802" Properties=species:S:1:pos:R:3 pbc="T T T"
Te -1.052 -4.961 2.124
Te 3.049 -4.996 1.734
Te 2.397 -0.505 -4.922
Te 0.522 -3.066 -1.683
Te 2.867 -6.327 -2.598
Te 5.080 -2.372 -2.415
Cl -0.435 -1.795 -4.407
Cl 0.781 -5.876 -0.274
Cl -2.262 -4.155 -0.675
Cl 2.608 -3.516 -4.006
Cl 0.557 -2.398 0.922
Cl 1.440 -7.560 2.937
Cl 1.850 -0.727 -1.720
Cl -0.539 -5.406 -3.683
Cl 3.928 -3.986 -0.598
Cl 5.627 -2.150 -5.617
```

Computed properties:
N(E_F) (states/eV/cell): 14.0
Electronic total energy (eV/atom): -2.29
Raw formation energy (eV per atom): 0.044



Entry 2:
A relaxed TeCl crystal. Source: Alexandria, functional PBE.

```
2
Lattice="-0.904 -3.136 -0.980 3.266 0.698 0.679 -0.700 -1.252 4.652" Properties=species:S:1:pos:R:3 pbc="T T T"
Cl 0.000 0.000 0.000
Te 0.136 -2.484 1.899
```

Computed properties:
N(E_F) (states/eV/cell): 2.2
Electronic total energy (eV/atom): -2.29
Raw formation energy (eV per atom): 0.201



Entry 3:
A relaxed TeCl crystal. Source: Alexandria, functional PBE.

```
4
Lattice="3.615 -0.022 0.000 -1.625 3.230 0.000 0.000 0.000 9.736" Properties=species:S:1:pos:R:3 pbc="T T T"
Cl 0.000 0.000 0.403
Cl 0.995 1.604 6.899
Te 0.000 0.000 4.824
Te 0.995 1.604 2.478
```

Computed properties:
N(E_F) (states/eV/cell): 4.4
Electronic total energy (eV/atom): -2.48
Raw formation energy (eV per atom): 0.018



Entry 4:
A relaxed TeCl crystal. Source: Alexandria, functional PBE.

```
16
Lattice="7.653 0.000 0.000 0.000 11.492 0.000 0.000 0.000 8.311" Properties=species:S:1:pos:R:3 pbc="T T T"
Te 6.219 1.457 0.490
Te 2.392 4.289 7.821
Te 1.434 7.203 3.666
Te 5.261 10.035 4.646
Te 7.631 10.256 5.806
Te 3.804 6.982 2.506
Te 0.022 4.510 6.662
Te 3.849 1.236 1.650
Cl 2.383 1.456 7.812
Cl 6.210 4.290 0.499
Cl 5.270 7.202 4.655
Cl 1.443 10.036 3.657
Cl 2.827 6.804 8.207
Cl 6.653 10.434 0.104
Cl 4.827 1.058 4.260
Cl 1.000 4.688 4.051
```

Computed properties:
N(E_F) (states/eV/cell): 0.0
Electronic total energy (eV/atom): -2.78
Raw formation energy (eV per atom): -0.284



Entry 5:
A relaxed TeCl crystal. Source: Alexandria, functional PBE.

```
8
Lattice="-2.074 -6.546 -0.775 6.563 -2.126 0.396 -0.613 -0.617 6.855" Properties=species:S:1:pos:R:3 pbc="T T T"
Te 0.000 0.000 0.000
Te 2.975 -1.372 3.626
Te -1.344 -3.582 3.040
Te 2.244 -4.336 -0.189
Cl 0.969 -2.322 1.619
Cl 3.944 -3.694 5.245
Cl -0.375 -5.904 4.659
Cl 3.213 -6.659 1.430
```

Computed properties:
N(E_F) (states/eV/cell): 16.3
Electronic total energy (eV/atom): -1.79
Raw formation energy (eV per atom): 0.700



Entry 6:
A relaxed TeCl crystal. Source: Alexandria, functional PBE.

```
4
Lattice="3.281 0.000 0.000 0.000 4.223 0.000 0.000 0.000 8.475" Properties=species:S:1:pos:R:3 pbc="T T T"
Cl 0.000 0.000 8.193
Cl 0.000 2.112 3.106
Te 1.640 0.000 4.622
Te 1.640 2.112 6.678
```

Computed properties:
N(E_F) (states/eV/cell): 2.7
Electronic total energy (eV/atom): -2.62
Raw formation energy (eV per atom): -0.123



Entry 7:
A relaxed Te4Cl crystal. Source: Alexandria, functional PBE.

```
5
Lattice="-1.855 3.655 3.588 1.119 -3.434 4.077 4.998 2.125 0.419" Properties=species:S:1:pos:R:3 pbc="T T T"
Te 0.000 0.000 0.000
Te 1.571 2.890 2.003
Te 3.058 -0.655 2.248
Te -0.368 0.110 3.832
Cl 2.130 1.173 4.042
```

Computed properties:
N(E_F) (states/eV/cell): 8.7
Electronic total energy (eV/atom): -2.07
Excess energy over the best structure of this formula in the dataset (meV/atom): 785
Raw formation energy (eV per atom): 0.813



Entry 8:
A relaxed TeCl crystal. Source: Alexandria, functional PBE.

```
4
Lattice="5.150 0.000 0.000 2.575 4.460 0.000 2.575 1.487 4.205" Properties=species:S:1:pos:R:3 pbc="T T T"
Cl 0.000 0.000 0.000
Cl 2.575 1.487 1.051
Te 5.150 2.974 2.103
Te 7.726 4.460 3.154
```

Computed properties:
N(E_F) (states/eV/cell): 1.0
Electronic total energy (eV/atom): -2.52
Raw formation energy (eV per atom): -0.026



Entry 9:
A relaxed ThTeCl2 crystal. Source: Alexandria, functional PBE.

```
8
Lattice="-2.385 0.790 3.399 -2.881 -5.764 -0.682 6.385 -1.958 4.936" Properties=species:S:1:pos:R:3 pbc="T T T"
Th -1.243 -1.668 3.458
Th 2.362 -5.264 4.196
Te -3.587 -3.900 2.332
Te 4.705 -3.032 5.321
Cl -0.219 -5.853 5.150
Cl 1.338 -1.079 2.504
Cl 1.058 -2.948 5.371
Cl 0.060 -3.984 2.283
```

Computed properties:
Electronic total energy (eV/atom): -5.31
Excess energy over the best structure of this formula in the dataset (meV/atom): 0
Raw formation energy (eV per atom): -1.747



Entry 10:
A relaxed ThTeCl2 crystal. Source: Alexandria, functional PBE.

```
8
Lattice="4.351 0.000 0.000 -2.175 5.672 0.000 0.000 0.000 8.990" Properties=species:S:1:pos:R:3 pbc="T T T"
Th 2.175 2.844 6.743
Th 0.000 2.828 2.248
Te 2.175 5.072 2.248
Te 0.000 0.600 6.743
Cl 0.000 3.887 5.083
Cl 2.175 1.785 3.907
Cl 0.000 3.887 8.402
Cl 2.175 1.785 0.588
```

Computed properties:
Electronic total energy (eV/atom): -5.24
Excess energy over the best structure of this formula in the dataset (meV/atom): 71
Raw formation energy (eV per atom): -1.676



Entry 11:
A relaxed Th2Te3Cl crystal. Source: Alexandria, functional PBE.

```
12
Lattice="-4.425 4.905 4.824 -1.621 -2.552 7.600 3.818 3.740 6.192" Properties=species:S:1:pos:R:3 pbc="T T T"
Th -0.806 2.203 6.731
Th -0.308 0.843 2.577
Th -1.919 5.250 16.040
Th -1.422 3.890 11.885
Te 0.726 5.059 7.130
Te 0.473 -0.013 8.760
Te -3.984 2.571 7.381
Te -2.954 1.034 11.486
Te -2.701 6.106 9.857
Te 1.756 3.523 11.236
Cl -1.114 3.047 9.308
Cl 0.000 0.000 0.000
```

Computed properties:
N(E_F) (states/eV/cell): 9.3
Electronic total energy (eV/atom): -5.58
Raw formation energy (eV per atom): -1.231



Entry 12:
A relaxed TiTeCl crystal. Source: Alexandria, functional PBE.

```
6
Lattice="-0.283 2.613 2.245 -6.696 2.858 -1.509 -3.914 -2.365 4.921" Properties=species:S:1:pos:R:3 pbc="T T T"
Te -2.197 1.421 0.731
Te -8.696 1.685 4.927
Ti -4.414 2.249 2.148
Ti -6.480 0.857 3.509
Cl -6.582 3.508 3.071
Cl -4.311 -0.402 2.587
```

Computed properties:
N(E_F) (states/eV/cell): 4.2
Electronic total energy (eV/atom): -5.15
Raw formation energy (eV per atom): -0.856



Entry 13:
A relaxed TiTe2Cl crystal. Source: Alexandria, functional PBE.

```
4
Lattice="-8.575 -3.671 5.429 -7.166 -6.560 4.701 -6.198 -4.880 7.366" Properties=species:S:1:pos:R:3 pbc="T T T"
Cl -10.970 -7.555 8.747
Te -20.045 -13.806 15.984
Te -1.895 -1.305 1.511
Ti 0.000 0.000 0.000
```

Computed properties:
N(E_F) (states/eV/cell): 5.1
Electronic total energy (eV/atom): -3.67
Excess energy over the best structure of this formula in the dataset (meV/atom): 877
Raw formation energy (eV per atom): 0.335



Entry 14:
A relaxed TiTe3Cl crystal. Source: Alexandria, functional PBE.

```
5
Lattice="-3.495 -1.156 3.795 3.051 -4.015 1.587 2.535 3.239 3.321" Properties=species:S:1:pos:R:3 pbc="T T T"
Cl 0.000 0.000 0.000
Te 1.525 -2.008 0.794
Te 1.268 1.619 1.661
Te -1.747 -0.578 1.897
Ti 1.046 -0.966 4.352
```

Computed properties:
N(E_F) (states/eV/cell): 14.5
Electronic total energy (eV/atom): -2.97
Excess energy over the best structure of this formula in the dataset (meV/atom): 1007
Raw formation energy (eV per atom): 0.867



Entry 15:
A relaxed TiTeCl crystal. Source: Alexandria, functional PBE.

```
3
Lattice="-1.672 -1.943 -2.548 0.998 -1.565 3.101 -6.446 1.702 2.934" Properties=species:S:1:pos:R:3 pbc="T T T"
Cl -3.434 -0.755 2.830
Te -0.662 0.175 0.301
Ti -3.025 -1.224 0.356
```

Computed properties:
N(E_F) (states/eV/cell): 1.7
Electronic total energy (eV/atom): -5.33
Raw formation energy (eV per atom): -1.034



Entry 16:
A relaxed Ti2TeCl crystal. Source: Alexandria, functional PBE.

```
4
Lattice="0.000 3.323 3.323 3.323 0.000 3.323 3.323 3.323 0.000" Properties=species:S:1:pos:R:3 pbc="T T T"
Cl 0.000 0.000 0.000
Te 3.323 3.323 3.323
Ti 1.662 1.662 1.662
Ti 4.985 4.985 4.985
```

Computed properties:
N(E_F) (states/eV/cell): 7.6
Electronic total energy (eV/atom): -5.57
Excess energy over the best structure of this formula in the dataset (meV/atom): 0
Raw formation energy (eV per atom): -0.378



Entry 17:
A relaxed Ti2TeCl crystal. Source: Alexandria, functional PBE.

```
8
Lattice="5.015 0.000 0.000 0.000 5.015 0.000 2.507 2.507 7.761" Properties=species:S:1:pos:R:3 pbc="T T T"
Cl 2.507 2.507 0.000
Cl 2.507 5.015 3.880
Te 0.000 0.000 0.000
Te 5.015 2.507 3.880
Ti 3.425 1.254 1.940
Ti 1.590 3.761 1.940
Ti 3.761 4.097 5.821
Ti 6.268 5.933 5.821
```

Computed properties:
N(E_F) (states/eV/cell): 9.8
Electronic total energy (eV/atom): -5.46
Excess energy over the best structure of this formula in the dataset (meV/atom): 115
Raw formation energy (eV per atom): -0.263



Entry 18:
A relaxed TiTe3Cl crystal. Source: Alexandria, functional PBE.

```
5
Lattice="5.280 0.000 0.000 0.000 5.280 0.000 0.000 0.000 5.280" Properties=species:S:1:pos:R:3 pbc="T T T"
Cl 2.640 2.640 2.640
Te 0.000 2.640 0.000
Te 0.000 0.000 2.640
Te 2.640 0.000 0.000
Ti 0.000 0.000 0.000
```

Computed properties:
N(E_F) (states/eV/cell): 6.3
Electronic total energy (eV/atom): -3.97
Excess energy over the best structure of this formula in the dataset (meV/atom): 0
Raw formation energy (eV per atom): -0.140



Entry 19:
A relaxed TiTeCl crystal. Source: Alexandria, functional PBE.

```
6
Lattice="-0.527 -1.935 5.696 -1.891 -5.332 1.213 3.864 -3.623 2.326" Properties=species:S:1:pos:R:3 pbc="T T T"
Ti 2.940 -5.777 5.170
Ti 2.676 -6.745 8.018
Te 1.731 -9.413 8.624
Te 1.008 -3.968 4.007
Cl -0.984 -6.500 2.961
Cl 1.110 -6.767 6.265
```

Computed properties:
N(E_F) (states/eV/cell): 2.7
Electronic total energy (eV/atom): -5.18
Raw formation energy (eV per atom): -0.884



Entry 20:
A relaxed Ti3Te2Cl4 crystal. Source: Alexandria, functional PBE.

```
9
Lattice="3.377 0.000 0.000 -1.688 2.925 0.000 0.000 0.000 22.752" Properties=species:S:1:pos:R:3 pbc="T T T"
Ti 0.000 0.000 22.347
Ti 0.000 0.000 7.533
Ti 1.688 0.975 14.691
Te 1.688 0.975 1.567
Te 1.688 0.975 20.376
Cl 0.000 0.000 13.133
Cl 1.688 0.975 9.092
Cl 1.688 0.975 5.977
Cl 0.000 0.000 16.247
```

Computed properties:
N(E_F) (states/eV/cell): 4.6
Electronic total energy (eV/atom): -5.29
Raw formation energy (eV per atom): -1.140